Record 1
Entry from the Alexandria database: TbSmGaPd after structural relaxation (PBE).

```
TbSmGaPd
1.0
-2.108 -2.957 1.155
0.799 -2.094 -3.904
5.601 -0.901 1.629
Tb Ga Pd Sm
1 1 1 1
Cartesian
2.606 -4.232 0.208
0.023 -2.880 -1.046
3.856 -2.018 1.871
1.300 -0.680 0.631
```

- N(E_F): 4.151 states/eV per cell
- Energy of formation from the pure elements: -0.7102 eV/atom
- Calculated volume: 24.0 Å³ per atom
- Space-group type: No. 38

***

Record 2
Entry from the Alexandria database: Mg2Br after structural relaxation (PBE).

```
Mg2Br
1.0
-2.963 2.963 4.805
2.963 -2.963 4.805
2.963 2.963 -4.805
Br Mg
2 4
Cartesian
0.000 0.000 2.403
0.000 0.000 7.208
4.032 1.069 0.000
-1.069 1.893 4.805
1.893 1.069 4.805
1.069 1.893 0.000
```

- N(E_F): 3.152 states/eV per cell
- Uncorrected formation energy: -0.297 eV per atom
- Calculated volume: 28.1 Å³ per atom
- Space-group type: No. 140

***

Record 3
Entry from the Alexandria database: Nd5Y4In after structural relaxation (PBE).

```
Nd5Y4In
1.0
3.504 0.000 -0.816
-1.304 9.463 -5.598
0.795 -2.085 11.343
Y In Nd
4 1 5
Cartesian
3.234 5.022 5.954
1.341 8.222 -2.174
1.654 -0.845 7.103
-0.239 2.355 -1.025
1.752 0.000 -0.408
0.006 5.636 0.027
0.528 1.707 2.268
1.100 4.731 -3.207
2.467 5.671 2.661
2.989 1.741 4.902
```

- N(E_F): 13.339 states/eV per cell
- Energy of formation from the pure elements: 0.0289 eV/atom
- Calculated volume: 33.9 Å³ per atom
- Space-group type: No. 12

***

Record 4
Entry from the Alexandria database: Nb2FeHPd after structural relaxation (PBE).

```
Nb2FeHPd
1.0
4.071 0.000 0.000
0.000 4.071 0.000
0.000 0.000 3.848
Nb H Pd Fe
2 1 1 1
Cartesian
0.000 2.036 0.000
2.036 0.000 0.000
0.000 0.000 0.000
2.036 2.036 1.924
0.000 0.000 1.924
```

- N(E_F): 4.251 states/eV per cell
- E_tot: -0.5539 Ry per atom
- Calculated volume: 12.8 Å³ per atom
- Space-group type: No. 123

***

Record 5
Entry from the Alexandria database: LaPr3Sm8 after structural relaxation (PBE).

```
LaPr3Sm8
1.0
7.349 -1.370 -5.240
-4.089 8.157 0.286
-1.904 1.370 8.823
Sm Pr La
8 3 1
Cartesian
-3.207 7.965 3.285
-4.342 6.488 8.469
-0.593 6.130 2.491
0.066 3.039 1.770
3.409 2.028 2.339
3.103 0.193 -0.376
2.259 7.136 0.627
4.729 -0.348 -3.128
0.909 4.539 -1.382
4.352 3.394 -0.686
0.446 3.618 5.251
3.259 6.787 -4.954
```

- N(E_F): 18.208 states/eV per cell
- Energy of formation from the pure elements: 0.2641 eV/atom
- Calculated volume: 35.4 Å³ per atom
- Space-group type: No. 23

***

Record 6
Entry from the Alexandria database: Ca3Sm2Pb4 after structural relaxation (PBE).

```
Ca3Sm2Pb4
1.0
-5.480 5.432 1.672
-3.793 -5.868 -4.930
-2.282 -4.486 7.096
Sm Ca Pb
4 6 8
Cartesian
-7.056 -5.529 1.643
-10.049 -3.311 3.266
-1.506 -1.611 0.572
-4.499 0.607 2.195
-7.719 -1.866 -0.105
-6.956 -1.089 5.964
-4.598 -3.833 -2.126
-3.037 -5.177 1.083
-4.636 -0.218 -1.629
-3.836 -3.057 3.943
-6.146 1.711 4.803
-4.391 -2.941 7.029
-4.674 -2.461 0.827
-6.880 -2.462 3.012
-5.408 -6.633 -0.965
-7.163 -1.981 -3.191
-6.892 1.281 0.040
-4.662 -6.203 3.798
```

- N(E_F): 2.632 states/eV per cell
- Energy of formation from the pure elements: -0.5460 eV/atom
- Calculated volume: 31.3 Å³ per atom
- Space-group type: No. 14

***

Record 7
Entry from the Alexandria database: Pm2Nd2Tl3 after structural relaxation (PBE).

```
Pm2Nd2Tl3
1.0
-3.467 0.386 -0.969
0.576 -2.077 -2.888
-5.687 -13.166 8.335
Pm Tl Nd
2 3 2
Cartesian
-5.542 -8.635 2.858
-3.037 -6.221 1.620
-4.548 -3.268 1.444
0.000 0.000 0.000
-4.606 -9.511 5.923
-6.593 -12.189 5.204
-1.985 -2.667 -0.726
```

- N(E_F): 7.554 states/eV per cell
- Energy of formation from the pure elements: -0.2588 eV/atom
- Calculated volume: 30.7 Å³ per atom
- Space-group type: No. 65

***

Record 8
Entry from the Alexandria database: La3Mg2NpN6 after structural relaxation (PBE).

```
La3Mg2NpN6
1.0
-4.865 -3.495 1.071
3.804 1.643 4.457
-2.899 5.306 -0.628
N Mg La Np
6 2 3 1
Cartesian
0.447 1.481 1.678
-1.547 -0.180 4.235
-2.187 -0.080 0.650
-1.773 3.534 4.250
-2.413 3.634 0.665
-4.407 1.973 3.222
-2.079 -1.844 2.159
1.018 -0.008 3.369
0.846 3.402 3.554
-4.807 0.052 1.346
-1.980 1.727 2.450
0.000 0.000 0.000
```

- N(E_F): 3.269 states/eV per cell
- Uncorrected formation energy: -1.042 eV per atom
- Calculated volume: 15.3 Å³ per atom
- Space-group type: No. 12

***

Record 9
Entry from the Alexandria database: BeAsCl2 after structural relaxation (PBE).

```
BeAsCl2
1.0
3.153 0.000 0.000
0.000 5.745 0.000
0.000 0.000 4.106
Cl Be As
2 1 1
Cartesian
0.000 0.000 0.000
1.577 2.873 0.000
0.000 2.873 2.053
1.577 0.000 2.053
```

- N(E_F): 1.730 states/eV per cell
- Uncorrected formation energy: 0.340 eV per atom
- Calculated volume: 18.6 Å³ per atom
- Space-group type: No. 47

***

Record 10
Entry from the Alexandria database: MnBeSe after structural relaxation (PBE).

```
MnBeSe
1.0
-2.330 2.455 -1.833
-1.274 -3.499 0.975
-0.967 1.109 2.714
Be Mn Se
1 1 1
Cartesian
-0.967 1.108 2.713
-2.462 1.025 0.460
-2.110 -0.959 1.397
```

- N(E_F): 1.906 states/eV per cell
- Uncorrected formation energy: 0.450 eV per atom
- Calculated volume: 13.2 Å³ per atom
- Space-group type: No. 187

***

Record 11
Entry from the Alexandria database: Ge2Te6Au after structural relaxation (PBE).

```
Ge2Te6Au
1.0
-4.406 -5.736 2.025
5.204 -7.282 -1.720
3.239 -2.266 8.212
Te Ge Au
12 4 2
Cartesian
1.945 -12.770 2.962
-0.124 -5.514 7.645
3.280 -9.127 4.158
4.162 -9.770 0.872
0.741 -11.136 6.870
0.465 -8.826 9.434
0.757 -6.157 4.359
3.296 -4.148 1.647
3.572 -6.459 -0.917
1.074 -8.403 0.584
2.964 -6.881 7.932
2.093 -2.514 5.555
4.624 -7.720 6.018
2.789 -11.529 5.168
-0.586 -7.564 2.499
1.248 -3.756 3.348
2.278 -4.059 8.008
1.759 -11.225 0.508
```

- N(E_F): 10.062 states/eV per cell
- Uncorrected formation energy: 0.095 eV per atom
- Calculated volume: 32.3 Å³ per atom
- Space-group type: No. 15

***

Record 12
Entry from the Alexandria database: Mg2CuPd3 after structural relaxation (PBE).

```
Mg2CuPd3
1.0
-1.167 3.852 1.811
-2.940 -3.277 -0.303
1.523 -1.814 4.840
Mg Pd Cu
2 3 1
Cartesian
-1.318 -2.129 3.680
-1.267 0.890 2.669
0.762 -0.907 2.420
-0.490 -0.035 5.137
-2.095 -1.204 1.211
0.000 0.000 0.000
```

- N(E_F): 2.147 states/eV per cell
- Energy of formation from the pure elements: -0.5704 eV/atom
- Calculated volume: 15.2 Å³ per atom
- Space-group type: No. 164

***

Record 13
Entry from the Alexandria database: Y2SnBIr after structural relaxation (PBE).

```
Y2SnBIr
1.0
-2.340 -0.290 -4.524
-2.629 -4.060 1.620
-2.941 2.449 1.365
Y Ir Sn B
2 1 1 1
Cartesian
-1.170 -0.145 -2.262
-1.314 -2.030 0.810
-1.471 1.224 0.682
-3.955 -0.950 -0.770
0.000 0.000 0.000
```

- N(E_F): 2.478 states/eV per cell
- Energy of formation from the pure elements: -0.5758 eV/atom
- Calculated volume: 21.1 Å³ per atom
- Space-group type: No. 123

***

Record 14
Entry from the Alexandria database: CaCoHg2 after structural relaxation (PBE).

```
CaCoHg2
1.0
3.584 0.000 0.000
0.000 3.584 0.000
0.000 0.000 6.782
Co Hg Ca
1 2 1
Cartesian
1.792 1.792 5.453
1.792 1.792 1.535
0.000 0.000 6.464
0.000 0.000 3.501
```

- N(E_F): 3.778 states/eV per cell
- Energy of formation from the pure elements: 0.0992 eV/atom
- Calculated volume: 21.8 Å³ per atom
- Space-group type: No. 99

***

Record 15
Entry from the Alexandria database: Li3Ca2Zn2Ga4 after structural relaxation (PBE).

```
Li3Ca2Zn2Ga4
1.0
-3.537 2.450 0.132
-2.240 -3.131 -1.926
-0.094 -4.585 12.369
Li Ga Ca Zn
3 4 2 2
Cartesian
-4.885 -3.637 6.782
0.000 0.000 0.000
-0.986 -1.628 3.793
-1.741 -2.590 1.424
-4.131 -2.675 9.151
-2.389 0.200 2.453
-3.482 -5.465 8.122
-1.813 -2.993 6.973
-4.058 -2.272 3.602
-3.169 -0.803 0.180
-2.702 -4.462 10.395
```

- N(E_F): 5.236 states/eV per cell
- Energy of formation from the pure elements: -0.1302 eV/atom
- Calculated volume: 21.6 Å³ per atom
- Space-group type: No. 139

***

Record 16
Entry from the Alexandria database: Tb7Te2Ir2 after structural relaxation (PBE).

```
Tb7Te2Ir2
1.0
-1.045 1.875 3.336
7.830 -0.835 5.280
6.255 7.118 0.316
Te Tb Ir
2 7 2
Cartesian
6.297 5.206 3.762
7.453 1.069 4.092
4.706 2.659 4.696
11.142 6.288 4.672
8.668 3.813 5.288
7.846 7.602 5.259
5.769 7.870 2.100
1.575 3.501 3.242
4.427 4.427 1.257
10.091 5.404 7.198
3.250 1.231 2.684
```

- N(E_F): 8.829 states/eV per cell
- Uncorrected formation energy: -0.907 eV per atom
- Calculated volume: 27.3 Å³ per atom
- Space-group type: No. 44

***

Record 17
Entry from the Alexandria database: PmYHg2 after structural relaxation (PBE).

```
PmYHg2
1.0
-2.834 0.670 2.511
-3.610 -1.007 -0.861
-0.763 -8.311 4.308
Hg Pm Y
2 1 1
Cartesian
-1.793 -2.207 1.510
-1.119 -6.217 3.349
-4.294 -0.226 1.101
-3.605 -4.319 2.977
```

- N(E_F): 3.840 states/eV per cell
- Energy of formation from the pure elements: -0.3316 eV/atom
- Calculated volume: 29.2 Å³ per atom
- Space-group type: No. 160

***

Record 18
Entry from the Alexandria database: Fe3Au after structural relaxation (PBE).

```
Fe3Au
1.0
-1.610 -1.760 -3.997
0.955 -4.548 -0.266
-1.990 2.599 3.310
Fe Au
3 1
Cartesian
-0.328 -3.154 -2.132
-0.681 -2.552 0.456
-1.964 -1.158 -1.409
0.000 0.000 0.000
```

- N(E_F): 3.760 states/eV per cell
- Energy of formation from the pure elements: 0.1439 eV/atom
- Calculated volume: 13.5 Å³ per atom
- Space-group type: No. 139

***

Record 19
Entry from the Alexandria database: MgCd3Hg5 after structural relaxation (PBE).

```
MgCd3Hg5
1.0
1.805 10.045 -1.869
3.668 -1.643 -5.288
-8.168 -3.941 -0.270
Cd Mg Hg
6 2 10
Cartesian
3.975 2.310 -5.453
3.790 7.819 -4.821
1.683 0.583 -2.335
0.021 4.331 -5.503
1.498 6.092 -1.703
-2.716 0.130 -1.924
-0.882 -0.691 -4.568
-1.813 5.153 -2.859
0.000 0.000 0.000
1.459 0.811 -5.354
-5.183 -1.316 -0.957
2.737 4.201 -3.578
-0.169 2.776 -2.923
-4.154 3.650 -2.073
0.859 7.742 -4.038
-3.554 -3.281 -3.388
2.488 5.777 -6.470
-2.526 1.685 -4.504
```

- N(E_F): 2.740 states/eV per cell
- Energy of formation from the pure elements: -0.0038 eV/atom
- Calculated volume: 25.5 Å³ per atom
- Space-group type: No. 72

***

Record 20
Entry from the Alexandria database: Mg2IrRu after structural relaxation (PBE).

```
Mg2IrRu
1.0
5.156 -0.003 0.001
2.133 4.694 -0.001
-3.034 -3.295 2.555
Mg Ru Ir
2 1 1
Cartesian
0.006 0.004 0.000
3.639 2.342 0.000
1.372 1.872 1.277
2.884 -0.477 1.278
```

- N(E_F): 4.082 states/eV per cell
- Energy of formation from the pure elements: -0.0237 eV/atom
- Calculated volume: 15.5 Å³ per atom
- Space-group type: No. 71